A relaxed TaCo2Cl crystal, computed with PBE-GGA.

Summary:
- Polymorph energy (0 for the lowest one): 497 meV per atom
- Magnetic moment: 3.15 μB per formula unit
- Energy: -6.4719 eV/atom
- ΔE_f (raw): 0.506 eV/atom

Lattice parameters (Å, degrees): 4.818 4.818 2.886 90.00 90.00 119.94
Fractional positions:
Ta  0.000  0.000  0.000
Co  0.000  0.500  0.500
Co  0.500  0.000  0.500
Cl  0.500  0.500  0.000

=====

A relaxed Ta2CoCl crystal, computed with PBE-GGA.

Summary:
- Polymorph energy (0 for the lowest one): 548 meV per atom
- Magnetic moment: 0.00 μB per formula unit
- Energy: -7.6189 eV/atom
- ΔE_f (raw): 0.546 eV/atom

Lattice parameters (Å, degrees): 3.073 4.056 5.158 90.00 90.00 90.00
Fractional positions:
Ta  0.000  0.000  0.000
Ta  0.500  0.000  0.500
Co  0.000  0.500  0.500
Cl  0.500  0.500  0.000

=====

A relaxed Ta2CoCl crystal, computed with PBE-GGA.

Summary:
- Polymorph energy (0 for the lowest one): 340 meV per atom
- Magnetic moment: 0.00 μB per formula unit
- Energy: -7.8266 eV/atom
- ΔE_f (raw): 0.338 eV/atom

Lattice parameters (Å, degrees): 5.358 5.358 5.358 148.45 129.23 61.01
Fractional positions:
Ta  0.000  0.000  0.000
Ta  0.711  0.211  0.500
Co  0.472  0.472  0.000
Cl  0.224  0.724  0.500

=====

A relaxed TaCoCl2 crystal, computed with PBE-GGA.

Summary:
- Polymorph energy (0 for the lowest one): 819 meV per atom
- Magnetic moment: 1.63 μB per formula unit
- Energy: -5.3613 eV/atom
- ΔE_f (raw): 0.302 eV/atom

Lattice parameters (Å, degrees): 3.202 3.202 8.218 90.00 90.00 126.36
Fractional positions:
Ta  0.000  0.000  0.000
Co  0.000  0.000  0.500
Cl  0.500  0.500  0.259
Cl  0.500  0.500  0.741

=====

A relaxed TaCo2Cl crystal, computed with PBE-GGA.

Summary:
- Polymorph energy (0 for the lowest one): 0 meV per atom
- Magnetic moment: 0.00 μB per formula unit
- Energy: -6.9687 eV/atom
- ΔE_f (raw): 0.009 eV/atom

Lattice parameters (Å, degrees): 3.045 3.141 6.502 90.00 90.00 90.00
Fractional positions:
Ta  0.000  0.000  0.000
Co  0.500  0.500  0.201
Co  0.500  0.500  0.799
Cl  0.000  0.500  0.500

=====

A relaxed TaCoCl2 crystal, computed with PBE-GGA.

Summary:
- Polymorph energy (0 for the lowest one): 835 meV per atom
- Magnetic moment: 2.09 μB per formula unit
- Energy: -5.3457 eV/atom
- ΔE_f (raw): 0.317 eV/atom

Lattice parameters (Å, degrees): 3.110 4.279 5.072 90.00 94.32 90.00
Fractional positions:
Ta  0.000  0.000  0.000
Co  0.500  0.000  0.500
Cl  0.215  0.500  0.249
Cl  0.785  0.500  0.751

=====

A relaxed Ta2CoCl crystal, computed with PBE-GGA.

Summary:
- Polymorph energy (0 for the lowest one): 553 meV per atom
- Magnetic moment: 1.15 μB per formula unit
- Energy: -7.6139 eV/atom
- ΔE_f (raw): 0.551 eV/atom

Lattice parameters (Å, degrees): 5.044 5.044 5.044 143.68 120.75 71.52
Fractional positions:
Ta  0.243  0.243  0.000
Ta  0.757  0.757  0.000
Co  0.500  0.000  0.500
Cl  0.000  0.500  0.500

=====

A relaxed Ta2CoCl crystal, computed with PBE-GGA.

Summary:
- Polymorph energy (0 for the lowest one): 143 meV per atom
- Magnetic moment: 0.89 μB per formula unit
- Energy: -8.0242 eV/atom
- ΔE_f (raw): 0.140 eV/atom

Lattice parameters (Å, degrees): 2.929 2.929 7.043 90.00 90.00 90.00
Fractional positions:
Ta  0.000  0.000  0.235
Ta  0.000  0.000  0.765
Co  0.500  0.500  0.000
Cl  0.500  0.500  0.500

=====

A relaxed TaCoCl2 crystal, computed with PBE-GGA.

Summary:
- Polymorph energy (0 for the lowest one): 1079 meV per atom
- Magnetic moment: 0.00 μB per formula unit
- Energy: -5.1020 eV/atom
- ΔE_f (raw): 0.561 eV/atom

Lattice parameters (Å, degrees): 6.107 6.107 6.107 126.08 126.08 79.75
Fractional positions:
Ta  0.000  0.000  0.000
Ta  0.750  0.250  0.500
Co  0.250  0.750  0.500
Co  0.500  0.500  0.000
Cl  0.161  0.625  0.036
Cl  0.375  0.411  0.536
Cl  0.589  0.125  0.964
Cl  0.875  0.839  0.464

=====

A relaxed Ta2CoCl crystal, computed with PBE-GGA.

Summary:
- Polymorph energy (0 for the lowest one): 738 meV per atom
- Magnetic moment: 0.00 μB per formula unit
- Energy: -7.4287 eV/atom
- ΔE_f (raw): 0.736 eV/atom

Lattice parameters (Å, degrees): 6.871 6.871 6.871 133.98 133.98 67.12
Fractional positions:
Ta  0.091  0.625  0.966
Ta  0.375  0.341  0.466
Ta  0.659  0.125  0.034
Ta  0.875  0.909  0.534
Co  0.000  0.000  0.000
Co  0.750  0.250  0.500
Cl  0.250  0.750  0.500
Cl  0.500  0.500  0.000

=====

A relaxed TaV2CoCl crystal, computed with PBE-GGA.

Summary:
- Magnetic moment: 0.01 μB per formula unit
- Energy: -6.8241 eV/atom
- ΔE_f (raw): 0.984 eV/atom

Lattice parameters (Å, degrees): 4.385 4.385 4.675 90.00 90.00 90.00
Fractional positions:
Ta  0.000  0.000  0.000
V  0.000  0.500  0.500
V  0.500  0.000  0.500
Co  0.000  0.000  0.500
Cl  0.500  0.500  0.000

=====

A relaxed Tb6CoCl10 crystal, computed with PBE-GGA.

Summary:
- Magnetic moment: 0.90 μB per formula unit
- Energy: -4.9952 eV/atom
- ΔE_f (raw): -1.857 eV/atom

Lattice parameters (Å, degrees): 7.136 8.759 8.944 108.57 96.60 105.19
Fractional positions:
Tb  0.038  0.208  0.408
Tb  0.136  0.556  0.255
Tb  0.361  0.640  0.688
Tb  0.639  0.360  0.312
Tb  0.864  0.444  0.745
Tb  0.962  0.792  0.592
Co  0.000  0.500  0.500
Cl  0.089  0.873  0.337
Cl  0.220  0.253  0.159
Cl  0.237  0.577  0.951
Cl  0.335  0.950  0.775
Cl  0.453  0.325  0.577
Cl  0.547  0.675  0.423
Cl  0.665  0.050  0.225
Cl  0.763  0.423  0.049
Cl  0.780  0.747  0.841
Cl  0.911  0.127  0.663

=====

A relaxed Tb4Co2Cl5 crystal, computed with PBE-GGA.

Summary:
- Magnetic moment: 0.72 μB per formula unit
- Energy: -5.0169 eV/atom
- ΔE_f (raw): -1.202 eV/atom

Lattice parameters (Å, degrees): 13.072 13.072 13.072 163.64 143.67 40.08
Fractional positions:
Tb  0.145  0.145  0.000
Tb  0.215  0.500  0.715
Tb  0.785  0.500  0.285
Tb  0.855  0.855  0.000
Co  0.044  0.044  0.000
Co  0.956  0.956  0.000
Cl  0.045  0.326  0.720
Cl  0.394  0.674  0.720
Cl  0.500  0.000  0.500
Cl  0.606  0.326  0.280
Cl  0.955  0.674  0.280

=====

A relaxed Tb3CoTeCl crystal, computed with PBE-GGA.

Summary:
- Magnetic moment: 0.00 μB per formula unit
- Energy: -5.2258 eV/atom
- ΔE_f (raw): -0.895 eV/atom

Lattice parameters (Å, degrees): 8.671 4.017 9.793 90.00 94.13 90.00
Fractional positions:
Tb  0.109  0.250  0.356
Tb  0.147  0.250  0.893
Tb  0.330  0.750  0.632
Tb  0.670  0.250  0.368
Tb  0.853  0.750  0.107
Tb  0.891  0.750  0.644
Co  0.107  0.250  0.633
Co  0.893  0.750  0.367
Te  0.386  0.750  0.319
Te  0.614  0.250  0.681
Cl  0.357  0.750  0.922
Cl  0.643  0.250  0.078